YTm4Te2 PBE relaxed; magnetic moment = 0.000 Bohr magnetons per cell
1.0
2.693 1.555 8.773
-2.693 1.555 8.773
0.000 -3.110 8.773
Y Tm Te
1 4 2
Direct
0.000 0.000 0.000 Y
0.236 0.236 0.236 Tm
0.366 0.366 0.366 Tm
0.634 0.634 0.634 Tm
0.764 0.764 0.764 Tm
0.119 0.119 0.119 Te
0.881 0.881 0.881 Te

=====

Co5Rh PBE relaxed; magnetic moment = 9.521 Bohr magnetons per cell; calculated formation energy = 0.04 eV per atom
1.0
4.027 -1.789 0.000
4.027 1.789 0.000
-1.618 0.000 4.856
Co Rh
5 1
Direct
0.000 0.000 0.000 Co
0.329 0.329 0.157 Co
0.334 0.334 0.677 Co
0.666 0.666 0.323 Co
0.671 0.671 0.843 Co
0.000 0.000 0.500 Rh

=====

ScCrIn4 PBE relaxed; magnetic moment = 3.321 Bohr magnetons per cell; calculated formation energy = 0.29 eV per atom
1.0
0.000 4.151 4.151
4.151 0.000 4.151
4.151 4.151 0.000
Sc Cr In
1 1 4
Direct
0.000 0.000 0.000 Sc
0.750 0.750 0.750 Cr
0.375 0.375 0.375 In
0.375 0.375 0.875 In
0.375 0.875 0.375 In
0.875 0.375 0.375 In

=====

Hf2GaHgRh PBE relaxed; magnetic moment = 0.000 Bohr magnetons per cell; calculated formation energy = 0.80 eV per atom
1.0
4.944 0.000 0.000
0.000 4.944 0.000
0.000 0.000 4.689
Hf Ga Hg Rh
2 1 1 1
Direct
0.000 0.500 0.000 Hf
0.500 0.000 0.000 Hf
0.000 0.000 0.000 Ga
0.000 0.000 0.500 Hg
0.500 0.500 0.500 Rh

=====

Sm2YMg8 PBE relaxed; magnetic moment = 0.000 Bohr magnetons per cell; calculated formation energy = 0.03 eV per atom
1.0
-2.634 3.798 7.350
2.634 -3.798 7.350
2.634 3.798 -7.350
Sm Y Mg
2 1 8
Direct
0.207 0.207 0.000 Sm
0.793 0.793 0.000 Sm
0.500 0.500 0.000 Y
0.062 0.363 0.698 Mg
0.210 0.000 0.210 Mg
0.335 0.637 0.698 Mg
0.345 0.845 0.500 Mg
0.655 0.155 0.500 Mg
0.665 0.363 0.302 Mg
0.790 0.000 0.790 Mg
0.938 0.637 0.302 Mg

=====

PrPbAu3 PBE relaxed; magnetic moment = 0.000 Bohr magnetons per cell; calculated formation energy = -0.49 eV per atom
1.0
1.814 -14.083 0.000
1.814 14.083 0.000
0.000 0.000 4.726
Pr Pb Au
2 2 6
Direct
0.075 0.925 0.750 Pr
0.925 0.075 0.250 Pr
0.212 0.788 0.250 Pb
0.788 0.212 0.750 Pb
0.323 0.677 0.250 Au
0.378 0.622 0.750 Au
0.475 0.525 0.750 Au
0.525 0.475 0.250 Au
0.622 0.378 0.250 Au
0.677 0.323 0.750 Au

=====

BaNaLi2 PBE relaxed; relative energy among the computed polymorphs = 0.0587 eV/atom; magnetic moment = 0.000 Bohr magnetons per cell; calculated formation energy = 0.13 eV per atom
1.0
6.064 0.000 0.000
0.000 6.064 0.000
0.000 0.000 4.059
Ba Na Li
1 1 2
Direct
0.000 0.000 0.000 Ba
0.500 0.500 0.000 Na
0.000 0.500 0.500 Li
0.500 0.000 0.500 Li

=====

NbCu2PPt PBE relaxed; magnetic moment = 0.044 Bohr magnetons per cell; calculated formation energy = 1.31 eV per atom
1.0
4.694 0.000 0.000
0.000 4.694 0.000
0.000 0.000 4.662
Nb Cu P Pt
1 2 1 1
Direct
0.000 0.000 0.000 Nb
0.000 0.500 0.000 Cu
0.500 0.000 0.000 Cu
0.000 0.000 0.500 P
0.500 0.500 0.500 Pt

=====

BeHgS2 PBE relaxed; relative energy among the computed polymorphs = 0.0009 eV/atom; magnetic moment = 0.000 Bohr magnetons per cell
1.0
-2.759 2.759 5.153
2.759 -2.759 5.153
2.759 2.759 -5.153
Be Hg S
2 2 4
Direct
0.000 0.000 0.000 Be
0.750 0.250 0.500 Be
0.250 0.750 0.500 Hg
0.500 0.500 0.000 Hg
0.054 0.625 0.929 S
0.375 0.304 0.429 S
0.696 0.125 0.071 S
0.875 0.946 0.571 S

=====

Dy4Y2Th PBE relaxed; relative energy among the computed polymorphs = 0.5350 eV/atom; magnetic moment = 0.518 Bohr magnetons per cell; calculated formation energy = 0.56 eV per atom
1.0
3.067 -6.328 0.000
3.067 6.328 0.000
0.000 0.000 5.951
Dy Y Th
4 2 1
Direct
0.133 0.867 0.000 Dy
0.295 0.705 0.500 Dy
0.705 0.295 0.500 Dy
0.867 0.133 0.000 Dy
0.387 0.613 0.000 Y
0.613 0.387 0.000 Y
0.000 0.000 0.500 Th

=====

Ag2SbRu PBE relaxed; magnetic moment = 0.000 Bohr magnetons per cell
1.0
0.000 3.288 3.288
3.288 0.000 3.288
3.288 3.288 0.000
Ag Sb Ru
2 1 1
Direct
0.000 0.000 0.000 Ag
0.250 0.250 0.250 Ag
0.750 0.750 0.750 Sb
0.500 0.500 0.500 Ru

=====

AgMoRh2 PBE relaxed; relative energy among the computed polymorphs = 0.0645 eV/atom; magnetic moment = 0.000 Bohr magnetons per cell; calculated formation energy = 0.04 eV per atom
1.0
2.811 0.000 0.000
0.000 3.752 0.000
0.000 0.000 5.818
Ag Mo Rh
1 1 2
Direct
0.000 0.000 0.000 Ag
0.000 0.000 0.500 Mo
0.500 0.500 0.265 Rh
0.500 0.500 0.735 Rh

=====

GaAg3 PBE relaxed; magnetic moment = 0.000 Bohr magnetons per cell; calculated formation energy = 0.01 eV per atom
1.0
3.132 0.000 0.000
0.000 4.626 0.000
0.000 0.000 4.859
Ga Ag
1 3
Direct
0.000 0.000 0.000 Ga
0.000 0.500 0.643 Ag
0.500 0.000 0.498 Ag
0.500 0.500 0.136 Ag

=====

Th4TlPd PBE relaxed; magnetic moment = 0.000 Bohr magnetons per cell; calculated formation energy = -0.27 eV per atom
1.0
7.627 0.000 0.000
0.000 7.627 0.000
0.000 0.000 5.943
Th Tl Pd
8 2 2
Direct
0.146 0.333 0.000 Th
0.146 0.667 0.500 Th
0.333 0.146 0.500 Th
0.333 0.854 0.000 Th
0.667 0.146 0.000 Th
0.667 0.854 0.500 Th
0.854 0.333 0.500 Th
0.854 0.667 0.000 Th
0.500 0.500 0.250 Tl
0.500 0.500 0.750 Tl
0.000 0.000 0.250 Pd
0.000 0.000 0.750 Pd

=====

SbRhBr2 PBE relaxed; relative energy among the computed polymorphs = 0.0000 eV/atom; magnetic moment = 0.000 Bohr magnetons per cell
1.0
3.413 -1.970 0.000
3.413 1.970 0.000
-0.058 0.000 8.647
Sb Rh Br
1 1 2
Direct
0.000 0.000 0.000 Sb
0.666 0.666 0.865 Rh
0.003 0.003 0.290 Br
0.331 0.331 0.690 Br

=====

ZrTlOs3 PBE relaxed; relative energy among the computed polymorphs = 0.2095 eV/atom; magnetic moment = 0.000 Bohr magnetons per cell; calculated formation energy = 2.54 eV per atom
1.0
4.840 0.000 0.000
0.000 4.840 0.000
0.000 0.000 4.840
Zr Tl Os
1 1 3
Direct
0.000 0.000 0.000 Zr
0.500 0.500 0.500 Tl
0.000 0.500 0.500 Os
0.500 0.000 0.500 Os
0.500 0.500 0.000 Os

=====

BaSb2Xe5F22 PBE relaxed; magnetic moment = 0.000 Bohr magnetons per cell
1.0
0.000 7.107 7.118
6.161 0.000 7.118
6.161 7.107 0.000
Ba Sb Xe F
1 2 5 22
Direct
0.000 0.000 0.000 Ba
0.000 0.500 0.000 Sb
0.500 0.000 0.500 Sb
0.000 0.000 0.500 Xe
0.000 0.500 0.500 Xe
0.500 0.000 0.000 Xe
0.500 0.500 0.000 Xe
0.500 0.500 0.500 Xe
0.044 0.293 0.956 F
0.047 0.603 0.762 F
0.060 0.698 0.302 F
0.070 0.930 0.699 F
0.238 0.412 0.953 F
0.293 0.044 0.707 F
0.301 0.699 0.930 F
0.302 0.940 0.060 F
0.354 0.646 0.354 F
0.397 0.953 0.412 F
0.412 0.238 0.397 F
0.588 0.762 0.603 F
0.603 0.047 0.588 F
0.646 0.354 0.646 F
0.698 0.060 0.940 F
0.699 0.301 0.070 F
0.707 0.956 0.293 F
0.762 0.588 0.047 F
0.930 0.070 0.301 F
0.940 0.302 0.698 F
0.953 0.397 0.238 F
0.956 0.707 0.044 F

=====

CdNiW2Cl PBE relaxed; magnetic moment = 0.000 Bohr magnetons per cell
1.0
4.342 0.000 0.000
0.000 4.342 0.000
0.000 0.000 5.074
Cd Ni W Cl
1 1 2 1
Direct
0.000 0.000 0.000 Cd
0.500 0.500 0.000 Ni
0.000 0.500 0.500 W
0.500 0.000 0.500 W
0.000 0.000 0.500 Cl

=====

RbHgBiCl6 PBE relaxed; magnetic moment = 0.000 Bohr magnetons per cell
1.0
7.141 0.000 0.000
-3.571 6.185 0.000
0.000 0.000 14.438
Rb Hg Bi Cl
2 2 2 12
Direct
0.000 0.000 0.000 Rb
0.000 0.000 0.500 Rb
0.333 0.667 0.250 Hg
0.667 0.333 0.750 Hg
0.333 0.667 0.750 Bi
0.667 0.333 0.250 Bi
0.001 0.375 0.142 Cl
0.001 0.625 0.358 Cl
0.375 0.001 0.642 Cl
0.375 0.375 0.358 Cl
0.375 0.375 0.858 Cl
0.375 0.999 0.142 Cl
0.625 0.001 0.858 Cl
0.625 0.625 0.142 Cl
0.625 0.625 0.642 Cl
0.625 0.999 0.358 Cl
0.999 0.375 0.642 Cl
0.999 0.625 0.858 Cl

=====

Sr3Nb4O12 PBE relaxed; magnetic moment = 0.000 Bohr magnetons per cell
1.0
-4.048 4.048 4.048
4.048 -4.048 4.048
4.048 4.048 -4.048
Sr Nb O
3 4 12
Direct
0.000 0.500 0.500 Sr
0.500 0.000 0.500 Sr
0.500 0.500 0.000 Sr
0.000 0.000 0.500 Nb
0.000 0.500 0.000 Nb
0.500 0.000 0.000 Nb
0.500 0.500 0.500 Nb
0.030 0.271 0.759 O
0.241 0.512 0.271 O
0.241 0.970 0.729 O
0.271 0.241 0.512 O
0.271 0.759 0.030 O
0.488 0.729 0.759 O
0.512 0.271 0.241 O
0.729 0.241 0.970 O
0.729 0.759 0.488 O
0.759 0.030 0.271 O
0.759 0.488 0.729 O
0.970 0.729 0.241 O

=====

Mg3Pd PBE relaxed; magnetic moment = 0.000 Bohr magnetons per cell; calculated formation energy = -0.43 eV per atom
1.0
8.014 0.000 0.000
-4.007 6.940 0.000
0.000 0.000 8.436
Mg Pd
18 6
Direct
0.000 0.000 0.000 Mg
0.000 0.000 0.500 Mg
0.000 0.280 0.244 Mg
0.000 0.378 0.899 Mg
0.000 0.622 0.399 Mg
0.000 0.720 0.744 Mg
0.280 0.000 0.244 Mg
0.280 0.280 0.744 Mg
0.333 0.667 0.122 Mg
0.333 0.667 0.622 Mg
0.378 0.000 0.899 Mg
0.378 0.378 0.399 Mg
0.622 0.000 0.399 Mg
0.622 0.622 0.899 Mg
0.667 0.333 0.122 Mg
0.667 0.333 0.622 Mg
0.720 0.000 0.744 Mg
0.720 0.720 0.244 Mg
0.000 0.328 0.572 Pd
0.000 0.672 0.072 Pd
0.328 0.000 0.572 Pd
0.328 0.328 0.072 Pd
0.672 0.000 0.072 Pd
0.672 0.672 0.572 Pd

=====

Y3Er4TmS8 PBE relaxed; magnetic moment = 0.000 Bohr magnetons per cell
1.0
3.882 2.241 6.343
-3.882 2.241 6.343
0.000 -4.482 6.343
Y Er Tm S
3 4 1 8
Direct
0.000 0.500 0.500 Y
0.500 0.000 0.500 Y
0.500 0.500 0.000 Y
0.000 0.000 0.500 Er
0.000 0.500 0.000 Er
0.500 0.000 0.000 Er
0.500 0.500 0.500 Er
0.000 0.000 0.000 Tm
0.246 0.751 0.751 S
0.248 0.248 0.248 S
0.249 0.249 0.754 S
0.249 0.754 0.249 S
0.751 0.246 0.751 S
0.751 0.751 0.246 S
0.752 0.752 0.752 S
0.754 0.249 0.249 S

=====

Energy? In order: -33.83 -42.65 -25.18 -26.57 -28.29 -41.58 -6.55 -23.19 -29.02 -34.85 -17.99 -28.24 -11.54 -77.71 -16.59 -31.91 -99.74 -25.51 -52.25 -157.81 -70.28 -106.53 eV for the cell shown.